NdGdErRu | Alexandria via LeMat-Bulk | PBE | optimized geometry; symmetry = F-43m, No. 216; formation enthalpy at 0 K = 0.141 eV per atom
1.0
5.2143 0.0000 0.0000
2.6071 4.5157 0.0000
2.6071 1.5052 4.2574
Ru Gd Nd Er
1 1 1 1
Cartesian
0.0000 0.0000 0.0000
7.8214 4.5157 3.1931
2.6071 1.5052 1.0644
5.2143 3.0105 2.1287